i) A geometry-optimized SiS3O structure. Source: Alexandria via LeMat-Bulk, functional PBE.

Computed properties:
- M_tot (μB per formula unit) = 0.0

Cell and atoms, written as CIF:
```
data_SiS3O
_space_group_name_H-M_alt 'P m -3 m'
_space_group_IT_number 221
_space_group_name_Hall '-P 4 2 3'
_cell_length_a 4.399
_cell_length_b 4.399
_cell_length_c 4.399
_cell_angle_alpha 90.00
_cell_angle_beta 90.00
_cell_angle_gamma 90.00
loop_
_atom_site_label
_atom_site_type_symbol
_atom_site_fract_x
_atom_site_fract_y
_atom_site_fract_z
Si1 Si 0.000 0.000 0.000
S1 S 0.000 0.000 0.500
O1 O 0.500 0.500 0.500
```


ii) A geometry-optimized SiS3O structure. Source: Alexandria via LeMat-Bulk, functional PBE.

Computed properties:
- M_tot (μB per formula unit) = 0.0

Cell and atoms, written as CIF:
```
data_SiS3O
_space_group_name_H-M_alt 'P m -3 m'
_space_group_IT_number 221
_space_group_name_Hall '-P 4 2 3'
_cell_length_a 4.252
_cell_length_b 4.252
_cell_length_c 4.252
_cell_angle_alpha 90.00
_cell_angle_beta 90.00
_cell_angle_gamma 90.00
loop_
_atom_site_label
_atom_site_type_symbol
_atom_site_fract_x
_atom_site_fract_y
_atom_site_fract_z
Si1 Si 0.000 0.000 0.000
S1 S 0.000 0.500 0.500
O1 O 0.500 0.500 0.500
```


The structure shown above that is most stable: ii).